# 1
PBE Nd2Cu2Au, optimized geometry; DFT formation energy = -0.37 eV/atom; ρ = 9.24 Mg/m³; energy = -91.4 eV per cell
1.0
7.493 0.000 0.000
0.000 7.493 0.000
0.000 0.000 7.844
Nd Cu Au
8 8 4
Direct
0.681 0.819 0.500
0.319 0.181 0.500
0.819 0.319 0.000
0.181 0.681 0.000
0.819 0.319 0.500
0.181 0.681 0.500
0.319 0.181 0.000
0.681 0.819 0.000
0.383 0.883 0.250
0.617 0.117 0.250
0.117 0.383 0.750
0.883 0.617 0.750
0.883 0.617 0.250
0.117 0.383 0.250
0.383 0.883 0.750
0.617 0.117 0.750
0.500 0.500 0.250
0.000 0.000 0.750
0.500 0.500 0.750
0.000 0.000 0.250

***

# 2
PBE NdCu4Au4, optimized geometry; DFT formation energy = -0.07 eV/atom; ρ = 12.11 Mg/m³; energy = -69.8 eV per cell
1.0
-0.276 -4.501 -1.413
7.882 -1.202 2.291
-2.542 -2.224 7.577
Nd Cu Au
2 8 8
Direct
0.000 0.000 0.000
0.500 0.500 0.500
0.499 0.893 0.205
0.499 0.107 0.795
0.999 0.705 0.607
0.001 0.393 0.705
0.001 0.607 0.295
0.501 0.205 0.107
0.501 0.795 0.893
0.999 0.295 0.393
0.501 0.410 0.857
0.001 0.643 0.910
0.501 0.590 0.143
0.999 0.090 0.643
0.499 0.857 0.590
0.999 0.910 0.357
0.001 0.357 0.090
0.499 0.143 0.410

***

# 3
PBE NdCu2Au5, optimized geometry; DFT formation energy = -0.23 eV/atom; ρ = 13.64 Mg/m³; energy = -31.2 eV per cell
1.0
-0.278 -4.020 -0.389
2.378 -2.731 5.450
-5.115 -2.027 3.542
Nd Cu Au
1 2 5
Direct
0.000 0.000 0.000
0.733 0.767 0.767
0.267 0.233 0.233
0.000 0.500 0.500
0.649 0.543 0.159
0.351 0.457 0.841
0.351 0.841 0.457
0.649 0.159 0.543

***

# 4
PBE Nd8Cu2Au, optimized geometry; DFT formation energy = -0.06 eV/atom; ρ = 7.41 Mg/m³; energy = -50.3 eV per cell
1.0
-3.419 -4.632 1.115
1.163 -1.033 -7.943
6.374 -1.854 4.632
Nd Cu Au
8 2 1
Direct
0.585 0.342 0.090
0.585 0.090 0.342
0.179 0.386 0.386
0.988 0.221 0.775
0.988 0.775 0.221
0.804 0.627 0.627
0.382 0.914 0.661
0.382 0.661 0.914
0.493 0.700 0.309
0.493 0.309 0.700
0.119 0.008 0.008

***

# 5
PBE NdCu2Au9, optimized geometry; DFT formation energy = -0.21 eV/atom; ρ = 14.98 Mg/m³; energy = -89.9 eV per cell
1.0
-3.981 5.341 2.727
-8.192 -2.246 1.939
0.300 0.639 8.685
Nd Cu Au
2 4 18
Direct
0.500 0.000 0.000
0.250 0.500 0.500
0.875 0.250 0.750
0.875 0.750 0.250
0.875 0.250 0.250
0.375 0.750 0.750
0.750 0.500 0.500
0.000 0.000 0.000
0.998 0.926 0.683
0.607 0.074 0.317
0.674 0.183 0.574
0.431 0.817 0.426
0.752 0.817 0.574
0.143 0.183 0.426
0.076 0.926 0.317
0.319 0.074 0.683
0.752 0.574 0.817
0.143 0.426 0.183
0.076 0.317 0.926
0.319 0.683 0.074
0.998 0.683 0.926
0.607 0.317 0.074
0.674 0.574 0.183
0.431 0.426 0.817

***

# 6
PBE Nd2CuAu, optimized geometry; DFT formation energy = -0.45 eV/atom; ρ = 9.31 Mg/m³; energy = -18.7 eV per cell
1.0
-3.058 -0.509 1.962
0.004 -3.553 -0.916
4.021 -1.509 5.874
Nd Au Cu
2 1 1
Direct
0.000 0.000 0.758
0.000 0.000 0.242
0.500 0.500 0.500
0.500 0.500 0.000

***

# 7
PBE Nd2Cu3Au, optimized geometry; DFT formation energy = -0.38 eV/atom; ρ = 8.92 Mg/m³; energy = -54.7 eV per cell
1.0
-1.979 4.053 -3.632
-3.894 0.536 4.252
7.353 2.899 3.080
Nd Cu Au
4 6 2
Direct
0.250 0.750 0.500
0.752 0.752 0.000
0.750 0.250 0.500
0.248 0.248 0.000
0.323 0.839 0.162
0.161 0.677 0.838
0.677 0.161 0.838
0.839 0.323 0.162
0.161 0.161 0.322
0.839 0.839 0.678
0.667 0.667 0.333
0.333 0.333 0.667

***

# 8
PBE Nd2CuAu3, optimized geometry; DFT formation energy = -0.65 eV/atom; ρ = 11.39 Mg/m³; energy = -27.4 eV per cell
1.0
3.675 0.000 0.000
0.000 4.662 0.000
0.000 0.000 8.022
Nd Cu Au
2 1 3
Direct
0.000 0.500 0.004
0.000 0.000 0.500
0.500 0.500 0.325
0.500 0.000 0.839
0.500 0.000 0.185
0.500 0.500 0.648

***

# 9
PBE Nd8Cu2Au, optimized geometry; DFT formation energy = -0.17 eV/atom; ρ = 7.65 Mg/m³; energy = -51.5 eV per cell
1.0
-4.489 -0.481 -2.644
-1.455 -5.841 3.532
-1.316 7.260 6.090
Nd Cu Au
8 2 1
Direct
0.408 0.533 0.815
0.673 0.997 0.346
0.801 0.656 0.602
0.970 0.220 0.940
0.199 0.344 0.398
0.327 0.003 0.654
0.592 0.467 0.185
0.030 0.780 0.060
0.822 0.264 0.643
0.178 0.736 0.357
0.500 0.000 0.000

***

# 10
PBE Nd6CuAu5, optimized geometry; DFT formation energy = -0.66 eV/atom; ρ = 10.42 Mg/m³; energy = -57.0 eV per cell
1.0
-4.866 1.945 -0.460
-0.756 -3.422 -6.471
-5.721 -7.068 0.221
Au Nd Cu
5 6 1
Direct
0.663 0.163 0.674
0.331 0.333 0.335
0.000 0.500 0.000
0.669 0.667 0.665
0.337 0.837 0.326
0.834 0.586 0.331
0.834 0.083 0.331
0.500 0.753 0.000
0.500 0.247 0.000
0.166 0.917 0.669
0.166 0.414 0.669
0.000 0.000 0.000

***

# 11
PBE Nd4Cu3Au, optimized geometry; DFT formation energy = -0.33 eV/atom; ρ = 8.14 Mg/m³; energy = -37.3 eV per cell
1.0
3.963 0.000 0.000
0.000 4.630 0.000
0.000 0.000 10.725
Nd Cu Au
4 3 1
Direct
0.500 0.500 0.366
0.000 0.500 0.853
0.000 0.000 0.142
0.500 0.000 0.639
0.000 0.500 0.567
0.000 0.000 0.434
0.500 0.000 0.925
0.500 0.500 0.074

***

# 12
PBE Nd5Cu2Au, optimized geometry; DFT formation energy = -0.26 eV/atom; ρ = 8.01 Mg/m³; energy = -74.7 eV per cell
1.0
-1.107 7.051 -1.686
-5.938 0.097 4.303
8.091 -1.361 4.946
Nd Cu Au
10 4 2
Direct
0.520 0.684 0.704
0.816 0.980 0.296
0.000 0.000 0.000
0.500 0.500 0.000
0.184 0.020 0.704
0.684 0.184 0.704
0.020 0.520 0.704
0.316 0.816 0.296
0.980 0.480 0.296
0.480 0.316 0.296
0.120 0.380 0.000
0.620 0.120 0.000
0.380 0.880 0.000
0.880 0.620 0.000
0.750 0.750 0.500
0.250 0.250 0.500

***

# 13
PBE Nd3CuAu3, optimized geometry; DFT formation energy = -0.66 eV/atom; ρ = 10.34 Mg/m³; energy = -32.8 eV per cell
1.0
-3.746 2.382 1.081
-2.108 -2.158 -2.547
0.922 -6.454 7.763
Nd Cu Au
3 1 3
Direct
0.317 0.817 0.635
0.684 0.184 0.367
0.998 0.998 0.996
0.430 0.430 0.861
0.153 0.653 0.306
0.857 0.357 0.714
0.560 0.560 0.121

***

# 14
PBE Nd4CuAu3, optimized geometry; DFT formation energy = -0.64 eV/atom; ρ = 9.81 Mg/m³; energy = -38.1 eV per cell
1.0
-3.803 0.980 -0.545
-0.843 -0.712 4.603
2.441 10.633 2.091
Nd Cu Au
4 1 3
Direct
0.500 0.500 0.358
0.000 0.500 0.867
0.000 0.000 0.136
0.500 0.000 0.638
0.500 0.500 0.078
0.000 0.500 0.586
0.000 0.000 0.414
0.500 0.000 0.923

***

# 15
PBE NdCu2Au, optimized geometry; DFT formation energy = -0.31 eV/atom; ρ = 9.94 Mg/m³; energy = -17.5 eV per cell
1.0
4.456 0.000 0.000
2.228 3.859 0.000
2.228 1.286 4.550
Nd Au Cu
1 1 2
Direct
0.000 0.000 0.000
0.500 0.500 0.500
0.789 0.789 0.633
0.211 0.211 0.367

***

# 16
PBE NdCu2Au6, optimized geometry; DFT formation energy = -0.16 eV/atom; ρ = 12.29 Mg/m³; energy = -34.0 eV per cell
1.0
-0.939 3.109 -4.541
-3.986 -0.567 3.868
2.548 5.857 3.483
Nd Cu Au
1 2 6
Direct
0.000 0.000 0.000
0.333 0.667 0.500
0.667 0.333 0.500
0.500 0.000 0.212
0.500 0.500 0.212
0.000 0.500 0.212
0.500 0.500 0.788
0.000 0.500 0.788
0.500 0.000 0.788

***

# 17
PBE Nd2Cu2Au, optimized geometry; DFT formation energy = -0.39 eV/atom; ρ = 8.98 Mg/m³; energy = -45.9 eV per cell
1.0
-0.267 0.958 -4.261
4.980 -0.768 -2.731
-3.107 -8.657 -3.999
Nd Cu Au
4 4 2
Direct
0.679 0.297 0.345
0.919 0.275 0.888
0.321 0.703 0.655
0.081 0.725 0.112
0.070 0.299 0.560
0.628 0.851 0.894
0.930 0.701 0.440
0.372 0.149 0.106
0.609 0.116 0.666
0.391 0.884 0.334

***

# 18
PBE Nd3Cu4Au2, optimized geometry; DFT formation energy = -0.43 eV/atom; ρ = 9.37 Mg/m³; energy = -41.1 eV per cell
1.0
-3.121 0.925 -3.054
2.376 -5.257 -0.757
-6.018 -0.646 5.954
Nd Cu Au
3 4 2
Direct
0.664 0.327 0.671
0.000 0.000 0.000
0.336 0.673 0.329
0.729 0.457 0.049
0.271 0.543 0.951
0.944 0.888 0.603
0.056 0.112 0.397
0.616 0.232 0.279
0.384 0.768 0.721

***

# 19
PBE Nd3CuAu2, optimized geometry; DFT formation energy = -0.55 eV/atom; ρ = 9.83 Mg/m³; energy = -56.5 eV per cell
1.0
5.221 0.000 0.000
-2.610 4.521 0.000
0.000 0.000 12.743
Nd Cu Au
6 2 4
Direct
0.333 0.667 0.419
0.667 0.333 0.085
0.000 0.000 0.747
0.000 0.000 0.253
0.333 0.667 0.915
0.667 0.333 0.581
0.333 0.667 0.668
0.667 0.333 0.332
0.000 0.000 0.500
0.333 0.667 0.174
0.667 0.333 0.826
0.000 0.000 0.000

***

# 20
PBE Nd2CuAu2, optimized geometry; DFT formation energy = -0.63 eV/atom; ρ = 10.48 Mg/m³; energy = -46.6 eV per cell
1.0
-0.484 4.158 -0.578
-3.347 1.120 -4.592
-8.218 2.079 6.391
Nd Cu Au
4 2 4
Direct
0.671 0.315 0.343
0.928 0.260 0.885
0.329 0.685 0.657
0.072 0.740 0.115
0.617 0.093 0.673
0.383 0.907 0.327
0.086 0.264 0.565
0.646 0.824 0.883
0.914 0.736 0.435
0.354 0.176 0.117

***

# 21
PBE NdCuAu4, optimized geometry; DFT formation energy = -0.30 eV/atom; ρ = 13.61 Mg/m³; energy = -23.8 eV per cell
1.0
5.559 0.000 0.000
2.779 4.814 0.000
2.779 1.605 4.539
Nd Au Cu
1 4 1
Direct
0.250 0.250 0.250
0.626 0.626 0.123
0.626 0.123 0.626
0.626 0.626 0.626
0.123 0.626 0.626
0.000 0.000 0.000

***

# 22
PBE Nd2CuAu, optimized geometry; DFT formation energy = -0.49 eV/atom; ρ = 9.00 Mg/m³; energy = -37.7 eV per cell
1.0
4.681 0.000 0.000
0.000 5.927 0.024
0.000 -2.922 7.287
Nd Cu Au
4 2 2
Direct
0.750 0.229 0.427
0.250 0.771 0.573
0.250 0.787 0.074
0.750 0.213 0.926
0.250 0.352 0.206
0.750 0.648 0.794
0.750 0.656 0.288
0.250 0.344 0.712